Compound: SrPb
Source: Alexandria via LeMat-Bulk
Functional: GGA-PBE
Structure: relaxed

abc: 4.9147 4.9147 4.9147
angles: 136.16 105.93 90.24
Fractional coordinates of all 2 atoms:
1 Sr 0.0000 0.0000 0.0000
2 Pb 0.5000 0.5000 0.0000

D(E_F), states/eV per cell: 2.145
Energy of formation from the pure elements, eV per atom: -0.29
Crystal system: orthorhombic



Compound: Mg3BiPt
Source: Alexandria via LeMat-Bulk
Functional: GGA-PBE
Structure: relaxed

abc: 5.0246 5.0246 5.0246
angles: 90.00 90.00 90.00
Fractional coordinates of all 5 atoms:
1 Mg 0.0000 0.0000 0.5000
2 Mg 0.0000 0.5000 0.0000
3 Mg 0.5000 0.0000 0.0000
4 Bi 0.5000 0.5000 0.5000
5 Pt 0.0000 0.0000 0.0000

D(E_F), states/eV per cell: 2.336
Energy of formation from the pure elements, eV per atom: -0.31
Crystal system: cubic



Compound: BeTc2GeRh
Source: Alexandria via LeMat-Bulk
Functional: GGA-PBE
Structure: relaxed

abc: 4.7311 4.7311 4.5497
angles: 90.00 90.00 90.00
Fractional coordinates of all 5 atoms:
1 Be 0.0000 0.0000 0.0000
2 Tc 0.0000 0.5000 0.5000
3 Tc 0.5000 0.0000 0.5000
4 Ge 0.5000 0.5000 0.0000
5 Rh 0.5000 0.5000 0.5000

D(E_F), states/eV per cell: 6.692
Energy of formation from the pure elements, eV per atom: 1.70
Crystal system: tetragonal



Compound: Er2Cd3Ag4
Source: Alexandria via LeMat-Bulk
Functional: GGA-PBE
Structure: relaxed

abc: 4.9306 4.9306 9.1608
angles: 92.06 92.06 58.94
Fractional coordinates of all 9 atoms:
1 Er 0.1707 0.1707 0.2238
2 Er 0.8293 0.8293 0.7762
3 Cd 0.1607 0.1607 0.5776
4 Cd 0.5000 0.5000 0.0000
5 Cd 0.8393 0.8393 0.4224
6 Ag 0.1642 0.1642 0.8986
7 Ag 0.4920 0.4920 0.6536
8 Ag 0.5080 0.5080 0.3464
9 Ag 0.8358 0.8358 0.1014

D(E_F), states/eV per cell: 5.534
Energy of formation from the pure elements, eV per atom: -0.23
Crystal system: monoclinic



Compound: Nd2ErScSe6
Source: Alexandria via LeMat-Bulk
Functional: GGA-PBE
Structure: relaxed

abc: 7.6190 7.6190 7.6190
angles: 56.78 56.78 56.78
Fractional coordinates of all 10 atoms:
1 Nd 0.0000 0.0000 0.0000
2 Nd 0.4987 0.4987 0.4987
3 Er 0.2970 0.2970 0.2970
4 Sc 0.7987 0.7987 0.7987
5 Se 0.0661 0.4309 0.6771
6 Se 0.1690 0.9188 0.5789
7 Se 0.4309 0.6771 0.0661
8 Se 0.5789 0.1690 0.9188
9 Se 0.6771 0.0661 0.4309
10 Se 0.9188 0.5789 0.1690

D(E_F), states/eV per cell: 0.000
Crystal system: trigonal
E_form (uncorrected), eV per formula unit: -17.89



Compound: Ba2LiLaTe4
Source: Alexandria via LeMat-Bulk
Functional: GGA-PBE
Structure: relaxed

abc: 8.2034 4.7997 8.2494
angles: 90.00 109.16 90.00
Fractional coordinates of all 8 atoms:
1 Ba 0.0000 0.0000 0.0000
2 Ba 0.5000 0.5000 0.0000
3 Li 0.0000 0.5000 0.5000
4 La 0.5000 0.0000 0.5000
5 Te 0.2430 0.0000 0.7226
6 Te 0.2567 0.5000 0.2770
7 Te 0.7433 0.5000 0.7230
8 Te 0.7570 0.0000 0.2774

Crystal system: monoclinic
E_form (uncorrected), eV per formula unit: -12.23



Compound: Tb8P3CSe4
Source: Alexandria via LeMat-Bulk
Functional: GGA-PBE
Structure: relaxed

abc: 8.1158 8.1158 8.1158
angles: 58.92 58.92 58.92
Fractional coordinates of all 16 atoms:
1 Tb 0.2434 0.2434 0.2434
2 Tb 0.2593 0.7296 0.7296
3 Tb 0.2704 0.2704 0.7407
4 Tb 0.2704 0.7407 0.2704
5 Tb 0.7296 0.2593 0.7296
6 Tb 0.7296 0.7296 0.2593
7 Tb 0.7407 0.2704 0.2704
8 Tb 0.7566 0.7566 0.7566
9 P 0.0000 0.0000 0.5000
10 P 0.0000 0.5000 0.0000
11 P 0.5000 0.0000 0.0000
12 C 0.5000 0.5000 0.5000
13 Se 0.0000 0.0000 0.0000
14 Se 0.0000 0.5000 0.5000
15 Se 0.5000 0.0000 0.5000
16 Se 0.5000 0.5000 0.0000

D(E_F), states/eV per cell: 3.890
Crystal system: trigonal
E_form (uncorrected), eV per formula unit: -26.03



Compound: BPb2C
Source: Alexandria via LeMat-Bulk
Functional: GGA-PBE
Structure: relaxed

abc: 6.6332 6.6332 6.6332
angles: 131.34 131.34 71.27
Fractional coordinates of all 8 atoms:
1 B 0.0000 0.0000 0.0000
2 B 0.7500 0.2500 0.5000
3 Pb 0.1310 0.6250 0.0060
4 Pb 0.3750 0.3810 0.5060
5 Pb 0.6190 0.1250 0.9940
6 Pb 0.8750 0.8690 0.4940
7 C 0.2500 0.7500 0.5000
8 C 0.5000 0.5000 0.0000

D(E_F), states/eV per cell: 4.376
Energy of formation from the pure elements, eV per atom: 1.32
Crystal system: tetragonal



Compound: CdOs2Rh
Source: Alexandria via LeMat-Bulk
Functional: GGA-PBE
Structure: relaxed

abc: 4.4566 4.4566 4.4566
angles: 60.00 60.00 60.00
Fractional coordinates of all 4 atoms:
1 Cd 0.0000 0.0000 0.0000
2 Os 0.5000 0.5000 0.5000
3 Os 0.7500 0.7500 0.7500
4 Rh 0.2500 0.2500 0.2500

D(E_F), states/eV per cell: 3.957
Energy of formation from the pure elements, eV per atom: 0.65
Crystal system: cubic



Compound: Pr2SnSe4
Source: Alexandria via LeMat-Bulk
Functional: GGA-PBE
Structure: relaxed

abc: 8.0990 8.0990 7.5643
angles: 115.38 115.38 30.91
Fractional coordinates of all 7 atoms:
1 Pr 0.2231 0.2231 0.2153
2 Pr 0.7769 0.7769 0.7847
3 Sn 0.5000 0.5000 0.5000
4 Se 0.1417 0.1417 0.5049
5 Se 0.3735 0.3735 0.0627
6 Se 0.6265 0.6265 0.9373
7 Se 0.8583 0.8583 0.4951

Crystal system: monoclinic
E_form (uncorrected), eV per formula unit: -9.85



Compound: Sc2PbO
Source: Alexandria via LeMat-Bulk
Functional: GGA-PBE
Structure: relaxed

abc: 7.8338 6.4542 6.0094
angles: 90.00 90.45 90.00
Fractional coordinates of all 16 atoms:
1 Sc 0.0363 0.1503 0.3197
2 Sc 0.0363 0.3497 0.8197
3 Sc 0.2938 0.6385 0.5612
4 Sc 0.2938 0.8615 0.0612
5 Sc 0.7062 0.1385 0.9388
6 Sc 0.7062 0.3615 0.4388
7 Sc 0.9637 0.6503 0.1803
8 Sc 0.9637 0.8497 0.6803
9 Pb 0.3673 0.1560 0.6627
10 Pb 0.3673 0.3440 0.1627
11 Pb 0.6327 0.6560 0.8373
12 Pb 0.6327 0.8440 0.3373
13 O 0.1232 0.6639 0.8710
14 O 0.1232 0.8361 0.3710
15 O 0.8768 0.1639 0.6290
16 O 0.8768 0.3361 0.1290

D(E_F), states/eV per cell: 8.428
Crystal system: monoclinic
E_form (uncorrected), eV per formula unit: -6.40



Compound: TiNbFeRe
Source: Alexandria via LeMat-Bulk
Functional: GGA-PBE
Structure: relaxed

abc: 4.3839 4.3839 4.3839
angles: 60.00 60.00 60.00
Fractional coordinates of all 4 atoms:
1 Ti 0.0000 0.0000 0.0000
2 Nb 0.5000 0.5000 0.5000
3 Fe 0.7500 0.7500 0.7500
4 Re 0.2500 0.2500 0.2500

D(E_F), states/eV per cell: 2.016
Energy of formation from the pure elements, eV per atom: -0.29
Crystal system: cubic



Compound: NbCrInRu
Source: Alexandria via LeMat-Bulk
Functional: GGA-PBE
Structure: relaxed

abc: 4.5124 4.5124 4.5124
angles: 60.00 60.00 60.00
Fractional coordinates of all 4 atoms:
1 Nb 0.0000 0.0000 0.0000
2 Cr 0.2500 0.2500 0.2500
3 In 0.5000 0.5000 0.5000
4 Ru 0.7500 0.7500 0.7500

D(E_F), states/eV per cell: 3.516
Energy of formation from the pure elements, eV per atom: 0.01
Crystal system: cubic



Compound: CaAgIBr2
Source: Alexandria via LeMat-Bulk
Functional: GGA-PBE
Structure: relaxed

abc: 8.1171 4.6279 9.9471
angles: 90.00 94.82 90.00
Fractional coordinates of all 10 atoms:
1 Ca 0.2430 0.2500 0.4425
2 Ca 0.7570 0.7500 0.5575
3 Ag 0.0520 0.7500 0.0759
4 Ag 0.9480 0.2500 0.9241
5 I 0.3901 0.7500 0.6425
6 I 0.6099 0.2500 0.3575
7 Br 0.0254 0.7500 0.3561
8 Br 0.2333 0.2500 0.0990
9 Br 0.7667 0.7500 0.9010
10 Br 0.9746 0.2500 0.6439

D(E_F), states/eV per cell: 0.000
Crystal system: monoclinic
E_form (uncorrected), eV per formula unit: -5.91



Compound: Tl3CdBr
Source: Alexandria via LeMat-Bulk
Functional: GGA-PBE
Structure: relaxed

abc: 5.7662 5.7662 5.7662
angles: 90.00 90.00 90.00
Fractional coordinates of all 5 atoms:
1 Tl 0.0000 0.0000 0.5000
2 Tl 0.0000 0.5000 0.0000
3 Tl 0.5000 0.0000 0.0000
4 Cd 0.0000 0.0000 0.0000
5 Br 0.5000 0.5000 0.5000

D(E_F), states/eV per cell: 2.725
Crystal system: cubic
E_form (uncorrected), eV per formula unit: -0.12



Compound: Li2Tl
Source: Alexandria via LeMat-Bulk
Functional: GGA-PBE
Structure: relaxed

abc: 4.9934 4.9934 3.0472
angles: 90.00 90.00 90.00
Fractional coordinates of all 3 atoms:
1 Li 0.0000 0.5000 0.0000
2 Li 0.5000 0.0000 0.0000
3 Tl 0.0000 0.0000 0.5000

D(E_F), states/eV per cell: 1.423
Energy of formation from the pure elements, eV per atom: -0.05
Crystal system: tetragonal



Compound: K2AlGeO4
Source: Alexandria via LeMat-Bulk
Functional: GGA-PBE
Structure: relaxed

abc: 11.8076 10.3961 6.6854
angles: 84.49 61.21 34.30
Fractional coordinates of all 16 atoms:
1 K 0.0501 0.0501 0.6999
2 K 0.3001 0.3001 0.9499
3 K 0.6999 0.6999 0.0501
4 K 0.9499 0.9499 0.3001
5 Al 0.1250 0.1250 0.1250
6 Al 0.8750 0.8750 0.8750
7 Ge 0.3750 0.3750 0.3750
8 Ge 0.6250 0.6250 0.6250
9 O 0.0152 0.3223 0.3962
10 O 0.2337 0.6038 0.6777
11 O 0.3223 0.0152 0.7663
12 O 0.3962 0.7663 0.0152
13 O 0.6038 0.2337 0.9848
14 O 0.6777 0.9848 0.2337
15 O 0.7663 0.3962 0.3223
16 O 0.9848 0.6777 0.6038

D(E_F), states/eV per cell: 3.095
Crystal system: orthorhombic
E_form (uncorrected), eV per formula unit: -14.34



Compound: BiRuS2Cl
Source: Alexandria via LeMat-Bulk
Functional: GGA-PBE
Structure: relaxed

abc: 5.2636 5.2636 5.2345
angles: 90.00 90.00 90.00
Fractional coordinates of all 5 atoms:
1 Bi 0.0000 0.0000 0.0000
2 Ru 0.5000 0.5000 0.5000
3 S 0.0000 0.5000 0.0000
4 S 0.5000 0.0000 0.0000
5 Cl 0.0000 0.0000 0.5000

D(E_F), states/eV per cell: 7.974
Crystal system: tetragonal
E_form (uncorrected), eV per formula unit: 4.78



Compound: CaThBr6
Source: Alexandria via LeMat-Bulk
Functional: GGA-PBE
Structure: relaxed

abc: 7.5934 7.5934 7.1740
angles: 97.88 97.88 123.34
Fractional coordinates of all 8 atoms:
1 Ca 0.0000 0.0000 0.0000
2 Th 0.5000 0.5000 0.5000
3 Br 0.1101 0.4011 0.2531
4 Br 0.2537 0.2537 0.7445
5 Br 0.4011 0.1101 0.2531
6 Br 0.5989 0.8899 0.7469
7 Br 0.7463 0.7463 0.2555
8 Br 0.8899 0.5989 0.7469

D(E_F), states/eV per cell: 0.000
Crystal system: monoclinic
E_form (uncorrected), eV per formula unit: -14.62



Compound: ZrBiMo2
Source: Alexandria via LeMat-Bulk
Functional: GGA-PBE
Structure: relaxed

abc: 10.6994 10.6994 10.6994
angles: 157.86 157.86 31.51
Fractional coordinates of all 8 atoms:
1 Zr 0.0000 0.0000 0.0000
2 Zr 0.7500 0.2500 0.5000
3 Bi 0.2500 0.7500 0.5000
4 Bi 0.5000 0.5000 0.0000
5 Mo 0.0679 0.6250 0.9429
6 Mo 0.3750 0.3179 0.4429
7 Mo 0.6821 0.1250 0.0571
8 Mo 0.8750 0.9321 0.5571

D(E_F), states/eV per cell: 7.106
Energy of formation from the pure elements, eV per atom: 0.72
Crystal system: tetragonal



Compound: Tb12Ho6Er
Source: Alexandria via LeMat-Bulk
Functional: GGA-PBE
Structure: relaxed

abc: 8.4909 8.4909 8.4909
angles: 88.53 88.53 88.53
Fractional coordinates of all 19 atoms:
1 Tb 0.0128 0.2017 0.3581
2 Tb 0.2017 0.3581 0.0128
3 Tb 0.2237 0.4589 0.5654
4 Tb 0.3581 0.0128 0.2017
5 Tb 0.4346 0.7763 0.5411
6 Tb 0.4589 0.5654 0.2237
7 Tb 0.5411 0.4346 0.7763
8 Tb 0.5654 0.2237 0.4589
9 Tb 0.6419 0.9872 0.7983
10 Tb 0.7763 0.5411 0.4346
11 Tb 0.7983 0.6419 0.9872
12 Tb 0.9872 0.7983 0.6419
13 Ho 0.0946 0.6944 0.2584
14 Ho 0.2584 0.0946 0.6944
15 Ho 0.3056 0.7416 0.9054
16 Ho 0.6944 0.2584 0.0946
17 Ho 0.7416 0.9054 0.3056
18 Ho 0.9054 0.3056 0.7416
19 Er 0.0000 0.0000 0.0000

D(E_F), states/eV per cell: 33.100
Energy of formation from the pure elements, eV per atom: 0.15
Crystal system: trigonal



Compound: CeUSi
Source: Alexandria via LeMat-Bulk
Functional: GGA-PBE
Structure: relaxed

abc: 4.8245 4.8245 2.8432
angles: 90.00 90.00 120.00
Fractional coordinates of all 3 atoms:
1 Ce 0.0000 0.0000 0.0000
2 U 0.6667 0.3333 0.0000
3 Si 0.3333 0.6667 0.5000

D(E_F), states/eV per cell: 4.804
Crystal system: hexagonal
E_form (uncorrected), eV per formula unit: -0.29



Compound: LiAg4Br5
Source: Alexandria via LeMat-Bulk
Functional: GGA-PBE
Structure: relaxed

abc: 4.4155 4.4155 35.8523
angles: 90.00 90.00 120.00
Fractional coordinates of all 20 atoms:
1 Li 0.0000 0.0000 0.0000
2 Li 0.0000 0.0000 0.1918
3 Ag 0.0000 0.0000 0.3888
4 Ag 0.0000 0.0000 0.5941
5 Ag 0.0000 0.0000 0.7994
6 Ag 0.3333 0.6667 0.0934
7 Ag 0.3333 0.6667 0.2854
8 Ag 0.3333 0.6667 0.4915
9 Ag 0.3333 0.6667 0.6967
10 Ag 0.3333 0.6667 0.9021
11 Br 0.0000 0.0000 0.1203
12 Br 0.0000 0.0000 0.3128
13 Br 0.0000 0.0000 0.5182
14 Br 0.0000 0.0000 0.7233
15 Br 0.0000 0.0000 0.9283
16 Br 0.3333 0.6667 0.0177
17 Br 0.3333 0.6667 0.2098
18 Br 0.3333 0.6667 0.4156
19 Br 0.3333 0.6667 0.6207
20 Br 0.3333 0.6667 0.8259

Crystal system: trigonal
E_form (uncorrected), eV per formula unit: -5.78